## Zr2Re (PBE)

Data for a geometry-optimized Zr2Re structure.

- calculated density (g/cm3) = 9.493
- energy of formation (eV per formula unit) = 0.69
- DFT total energy (eV per atom) = -9.618

Unit cell a=3.407 b=5.113 c=7.403 alpha=90.00 beta=90.00 gamma=90.00
Atoms (fractional coordinates):
Zr  0.000  0.520  0.790
Zr  0.500  0.020  0.710
Zr  0.500  0.980  0.290
Zr  0.000  0.480  0.210
Re  0.000  0.000  0.000
Re  0.500  0.500  0.500